VASP calculation (GGA+U) on an optimized crystal structure of KVOF2.

Values from the calculation:
Excess energy over the best structure of this formula in the dataset (eV/f.u.): 9.73
SG: P4/mmm (123)
Crystal system: tetragonal
D(E_F) (states/eV per atom): 0.146

Unit cell a=4.5659 b=4.5659 c=4.2728 alpha=90.00 beta=90.00 gamma=90.00
Site moments in Bohr magnetons follow the coordinates.
Atoms (fractional coordinates):
K: 0.0000 0.0000 0.0000  0.00
F: 0.0000 0.5000 0.0000  0.01
F: 0.5000 0.0000 0.0000  0.01
O: 0.0000 0.0000 0.5000  0.06
V: 0.5000 0.5000 0.5000  -2.81